Computed, not measured: a geometry-optimized Cr2SbOs structure at the PBE-GGA level of DFT.

Geometry as CIF:
```
data_Cr2SbOs
_chemical_formula_sum 'Cr2 Sb1 Os1'
_cell_length_a 3.085
_cell_length_b 3.085
_cell_length_c 6.183
_cell_angle_alpha 90.00
_cell_angle_beta 90.00
_cell_angle_gamma 90.00
_space_group_name_H-M_alt 'P 1'
_space_group_IT_number 1
_space_group_name_Hall 'P 1'
loop_
_atom_site_label
_atom_site_type_symbol
_atom_site_fract_x
_atom_site_fract_y
_atom_site_fract_z
Cr1 Cr 0.000 0.000 0.000
Cr2 Cr 0.500 0.500 0.219
Sb1 Sb 0.500 0.500 0.746
Os1 Os 0.000 0.000 0.466
```

The uncorrected formation energy comes out at 1.598 eV/f.u. The calculation puts the uncorrected energy at -8.25 eV/atom. The density of states at the Fermi level is 3.1 states/eV per cell.

Computed, not measured: a geometry-optimized Fe2HgCl structure at the PBE-GGA level of DFT.

Geometry as CIF:
```
data_Fe2HgCl
_chemical_formula_sum 'Fe4 Hg2 Cl2'
_cell_length_a 3.009
_cell_length_b 4.714
_cell_length_c 11.270
_cell_angle_alpha 90.00
_cell_angle_beta 90.00
_cell_angle_gamma 90.00
_space_group_name_H-M_alt 'P 1'
_space_group_IT_number 1
_space_group_name_Hall 'P 1'
loop_
_atom_site_label
_atom_site_type_symbol
_atom_site_fract_x
_atom_site_fract_y
_atom_site_fract_z
Fe1 Fe 0.000 0.000 0.000
Fe2 Fe 0.000 0.500 0.337
Fe3 Fe 0.500 0.000 0.837
Fe4 Fe 0.500 0.500 0.500
Hg1 Hg 0.000 0.000 0.453
Hg2 Hg 0.500 0.500 0.953
Cl1 Cl 0.000 0.500 0.676
Cl2 Cl 0.500 0.000 0.176
```

The calculation puts the relative energy among the computed polymorphs at 0.695 eV per formula unit. The uncorrected formation energy comes out at 1.242 eV/f.u. The calculation puts the uncorrected energy at -4.46 eV/atom. The density of states at the Fermi level is 7.0 states/eV per cell.

Computed, not measured: a geometry-optimized Eu2InAu structure at the PBE-GGA level of DFT.

Geometry as CIF:
```
data_Eu2InAu
_chemical_formula_sum 'Eu8 In4 Au4'
_cell_length_a 7.686
_cell_length_b 7.686
_cell_length_c 7.686
_cell_angle_alpha 90.00
_cell_angle_beta 90.00
_cell_angle_gamma 90.00
_space_group_name_H-M_alt 'P 1'
_space_group_IT_number 1
_space_group_name_Hall 'P 1'
loop_
_atom_site_label
_atom_site_type_symbol
_atom_site_fract_x
_atom_site_fract_y
_atom_site_fract_z
Eu1 Eu 0.250 0.250 0.250
Eu2 Eu 0.250 0.250 0.750
Eu3 Eu 0.250 0.750 0.250
Eu4 Eu 0.250 0.750 0.750
Eu5 Eu 0.750 0.250 0.250
Eu6 Eu 0.750 0.250 0.750
Eu7 Eu 0.750 0.750 0.250
Eu8 Eu 0.750 0.750 0.750
In1 In 0.000 0.000 0.000
In2 In 0.000 0.500 0.500
In3 In 0.500 0.000 0.500
In4 In 0.500 0.500 0.000
Au1 Au 0.000 0.000 0.500
Au2 Au 0.000 0.500 0.000
Au3 Au 0.500 0.000 0.000
Au4 Au 0.500 0.500 0.500
```

The calculation puts the relative energy among the computed polymorphs at 0.173 eV per formula unit. The calculation puts the uncorrected energy at -7.21 eV/atom. The density of states at the Fermi level is 55.6 states/eV per cell. The calculation puts the formation energy from the elements at -0.57 eV/atom.

Computed, not measured: a geometry-optimized Zr2PtAu structure at the PBE-GGA level of DFT.

Geometry as CIF:
```
data_Zr2PtAu
_chemical_formula_sum 'Zr4 Pt2 Au2'
_cell_length_a 6.210
_cell_length_b 8.152
_cell_length_c 3.015
_cell_angle_alpha 90.00
_cell_angle_beta 90.00
_cell_angle_gamma 90.00
_space_group_name_H-M_alt 'P 1'
_space_group_IT_number 1
_space_group_name_Hall 'P 1'
loop_
_atom_site_label
_atom_site_type_symbol
_atom_site_fract_x
_atom_site_fract_y
_atom_site_fract_z
Zr1 Zr 0.250 0.250 0.000
Zr2 Zr 0.250 0.750 0.000
Zr3 Zr 0.750 0.250 0.000
Zr4 Zr 0.750 0.750 0.000
Pt1 Pt 0.000 0.000 0.500
Pt2 Pt 0.500 0.500 0.500
Au1 Au 0.000 0.500 0.500
Au2 Au 0.500 0.000 0.500
```

The calculation puts the uncorrected energy at -7.29 eV/atom. The density of states at the Fermi level is 6.5 states/eV per cell. The calculation puts the formation energy from the elements at -0.69 eV/atom.

Repeat the fourth record exactly.
Computed, not measured: a geometry-optimized Zr2PtAu structure at the PBE-GGA level of DFT.

Geometry as CIF:
```
data_Zr2PtAu
_chemical_formula_sum 'Zr4 Pt2 Au2'
_cell_length_a 6.210
_cell_length_b 8.152
_cell_length_c 3.015
_cell_angle_alpha 90.00
_cell_angle_beta 90.00
_cell_angle_gamma 90.00
_space_group_name_H-M_alt 'P 1'
_space_group_IT_number 1
_space_group_name_Hall 'P 1'
loop_
_atom_site_label
_atom_site_type_symbol
_atom_site_fract_x
_atom_site_fract_y
_atom_site_fract_z
Zr1 Zr 0.250 0.250 0.000
Zr2 Zr 0.250 0.750 0.000
Zr3 Zr 0.750 0.250 0.000
Zr4 Zr 0.750 0.750 0.000
Pt1 Pt 0.000 0.000 0.500
Pt2 Pt 0.500 0.500 0.500
Au1 Au 0.000 0.500 0.500
Au2 Au 0.500 0.000 0.500
```

The calculation puts the uncorrected energy at -7.29 eV/atom. The density of states at the Fermi level is 6.5 states/eV per cell. The calculation puts the formation energy from the elements at -0.69 eV/atom.